The following is a DFT calculation (PBE) of a relaxed CaNiBr2 crystal.

- Relative energy among the computed polymorphs: 492.5 meV per atom
- Raw formation energy: -0.5575 eV/atom
- Crystal system: tetragonal
- Symmetry: I-4m2

```
CaNiBr2
1.0
-0.020 5.514 3.183
-4.598 2.227 3.800
3.525 -5.147 -1.271
Ni Ca Br
1 1 2
Cartesian
0.598 2.119 2.701 Ni
-2.309 3.871 3.491 Ca
0.000 0.000 0.000 Br
-1.691 0.475 3.010 Br
```



The following is a DFT calculation (PBE) of a relaxed CaNiBr2 crystal.

- Relative energy among the computed polymorphs: 103.1 meV per atom
- Raw formation energy: -0.9469 eV/atom
- Crystal system: monoclinic
- Symmetry: Pm

```
CaNiBr2
1.0
3.997 0.000 0.000
0.000 3.919 -0.020
0.000 1.984 6.702
Ni Ca Br
1 1 2
Cartesian
1.998 5.164 4.671 Ni
0.000 3.197 3.702 Ca
0.000 5.168 5.975 Br
1.998 1.227 2.356 Br
```



The following is a DFT calculation (PBE) of a relaxed CaNiBr6 crystal.

- Raw formation energy: -0.7403 eV/atom
- Crystal system: trigonal
- Symmetry: R-3

```
CaNiBr6
1.0
6.527 0.009 0.008
3.257 5.660 0.011
3.252 1.879 6.160
Ca Ni Br
1 1 6
Cartesian
6.518 3.774 3.089 Ca
0.000 0.000 0.000 Ni
4.049 3.692 4.764 Br
7.815 1.673 4.766 Br
5.354 1.602 1.407 Br
5.221 5.875 1.413 Br
8.987 3.856 1.415 Br
7.681 5.946 4.772 Br
```



The following is a DFT calculation (PBE) of a relaxed CaNiBr2 crystal.

- Relative energy among the computed polymorphs: 381.1 meV per atom
- Raw formation energy: -0.6689 eV/atom
- Crystal system: orthorhombic
- Symmetry: Immm

```
CaNiBr2
1.0
-1.787 -4.441 -2.053
3.740 -3.024 1.999
-3.752 2.992 2.025
Ni Ca Br
1 1 2
Cartesian
0.482 -1.882 1.999 Ni
-2.281 -2.591 -0.028 Ca
0.084 -0.322 -0.002 Br
0.892 -3.410 -0.025 Br
```



The following is a DFT calculation (PBE) of a relaxed CaNiBr2 crystal.

- Relative energy among the computed polymorphs: 85.4 meV per atom
- Raw formation energy: -0.9646 eV/atom
- Crystal system: triclinic
- Symmetry: P1

```
CaNiBr2
1.0
4.741 -0.001 -0.001
-0.018 6.494 0.001
-2.006 -3.081 7.372
Ni Ca Br
2 2 4
Cartesian
0.926 2.981 7.158 Ni
2.138 -1.378 7.138 Ni
2.339 1.528 1.936 Ca
0.053 -1.702 5.147 Ca
0.605 6.324 0.086 Br
0.770 0.480 7.098 Br
-0.023 2.346 3.466 Br
2.421 -0.934 3.571 Br
```



The following is a DFT calculation (PBE) of a relaxed CaNiBr2 crystal.

- Relative energy among the computed polymorphs: 0.0 meV per atom
- Raw formation energy: -1.0500 eV/atom
- Crystal system: monoclinic
- Symmetry: Cm

```
CaNiBr2
1.0
-8.987 4.043 2.452
-0.823 -3.342 2.492
13.847 1.449 6.517
Ni Ca Br
4 4 8
Cartesian
9.766 1.282 4.946 Ni
2.430 -1.113 2.933 Ni
2.197 1.292 2.459 Ni
8.709 0.346 6.964 Ni
7.040 2.086 5.123 Ca
-0.295 -0.309 3.110 Ca
10.372 2.834 7.227 Ca
3.037 0.439 5.215 Ca
-0.745 0.426 0.325 Br
5.767 -0.520 4.830 Br
0.757 2.569 3.695 Br
7.268 1.623 8.200 Br
-5.405 4.080 3.686 Br
1.107 3.134 8.190 Br
4.259 3.076 5.532 Br
-3.076 0.681 3.519 Br
```